Compound: KReP2
Source: Alexandria
Functional: PBEsol
Structure: relaxed

Crystal system = monoclinic
Formation energy from the elements = -41 kJ/mol of formula units
Volume = 21.63 Å³ per atom

Cell and atoms, written as POSCAR:
```
KReP2
1.0
-2.168 2.236 0.071
0.805 -1.511 3.821
5.204 5.062 -0.488
K P Re
1 2 1
Direct
0.804 0.609 0.250
0.038 0.075 0.940
0.175 0.350 0.606
0.483 0.965 0.703
```



Compound: KRe2PSe
Source: Alexandria
Functional: PBEsol
Structure: relaxed

Uncorrected formation energy = 3.64 eV/atom
Crystal system = tetragonal
Volume = 21.10 Å³ per atom

Cell and atoms, written as POSCAR:
```
KRe2PSe
1.0
-4.042 -0.929 1.893
-0.456 -3.612 -2.745
2.292 -2.920 3.462
Re K Se P
2 1 1 1
Direct
0.000 0.500 0.000
0.500 0.000 0.000
0.000 0.000 0.000
0.000 0.000 0.500
0.500 0.500 0.500
```



Compound: KRePSe2
Source: Alexandria
Functional: PBEsol
Structure: relaxed

Uncorrected formation energy = 0.83 eV/atom
Crystal system = tetragonal
Volume = 29.37 Å³ per atom

Cell and atoms, written as POSCAR:
```
KRePSe2
1.0
-0.962 3.274 -3.237
-4.539 -1.226 0.109
-1.084 4.441 4.814
Re K Se P
1 1 2 1
Direct
0.000 0.000 0.000
0.000 0.000 0.500
0.000 0.500 0.000
0.500 0.000 0.000
0.500 0.500 0.500
```